[1]
Here is a relaxed TeWCl2 crystal from Alexandria via LeMat-Bulk. Energies are from PBE.

Unit cell a=3.3031 b=3.3031 c=12.1731 alpha=90.00 beta=90.00 gamma=126.72
Site moments in Bohr magnetons follow the coordinates.
Positions (direct):
Te1 0.5000 0.5000 0.2500  -0.02
W1 0.5000 0.5000 0.7500  0.72
Cl1 0.0000 0.0000 0.9090  0.02
Cl2 0.0000 0.0000 0.5910  0.02

Calculated values
- Uncorrected energy: -19.46 eV per cell
- Symmetry: Cmmm, No. 65
- Uncorrected formation energy: 0.08 eV per atom
- E above lowest polymorph: 140.1 kJ/mol of formula units
- Calculated density: 5964 kg/m³



[2]
Here is a relaxed AlW2Se crystal from Alexandria via LeMat-Bulk. Energies are from PBE.

Unit cell a=4.7947 b=4.7947 c=4.6668 alpha=73.91 beta=73.91 gamma=38.13
Positions (direct):
Se1 0.2529 0.2529 0.2341
W1 0.9999 0.9999 0.0329
W2 0.7512 0.7512 0.6957
Al1 0.4959 0.4959 0.5373

Calculated values
- Uncorrected energy: -32.02 eV per cell
- Symmetry: Cm, No. 8
- Uncorrected formation energy: 0.28 eV per atom
- E above lowest polymorph: 59.9 kJ/mol of formula units
- Calculated density: 12419 kg/m³



[3]
Here is a relaxed NaNp2Cl8 crystal from Alexandria via LeMat-Bulk. Energies are from PBE.

Unit cell a=5.4465 b=7.4877 c=7.4877 alpha=111.19 beta=96.63 gamma=96.63
Site moments in Bohr magnetons follow the coordinates.
Positions (direct):
Na1 0.5000 0.0000 0.0000  0.00
Np1 0.0000 0.3175 0.6825  3.56
Np2 0.0000 0.6825 0.3175  3.56
Cl1 0.9098 0.9384 0.6694  -0.04
Cl2 0.9098 0.6694 0.9384  -0.04
Cl3 0.2856 0.6099 0.6099  -0.04
Cl4 0.5000 0.7568 0.2432  -0.03
Cl5 0.5000 0.2432 0.7568  -0.03
Cl6 0.7144 0.3901 0.3901  -0.04
Cl7 0.0902 0.3306 0.0616  -0.04
Cl8 0.0902 0.0616 0.3306  -0.04

Calculated values
- Uncorrected energy: -60.25 eV per cell
- Symmetry: C2/m, No. 12
- Uncorrected formation energy: -1.66 eV per atom
- E above lowest polymorph: 50.1 kJ/mol of formula units
- Calculated density: 4651 kg/m³



[4]
Here is a relaxed BaLuCd2 crystal from Alexandria via LeMat-Bulk. Energies are from PBE.

Unit cell a=5.5980 b=5.5980 c=5.5980 alpha=60.00 beta=60.00 gamma=60.00
Positions (direct):
Lu1 0.0000 0.0000 0.0000
Ba1 0.5000 0.5000 0.5000
Cd1 0.2500 0.2500 0.2500
Cd2 0.7500 0.7500 0.7500

Calculated values
- Uncorrected energy: -8.88 eV per cell
- Energy of formation: -59 kJ/mol of formula units
- Symmetry: Fm-3m, No. 225
- E above lowest polymorph: 45.1 kJ/mol of formula units
- Calculated density: 7190 kg/m³



[5]
Here is a relaxed EuTaH crystal from Alexandria via LeMat-Bulk. Energies are from PBE.

Unit cell a=3.1861 b=3.1629 c=11.6000 alpha=90.00 beta=90.00 gamma=120.24
Site moments in Bohr magnetons follow the coordinates.
Positions (direct):
Eu1 0.2733 0.5467 0.1481  -7.05
Eu2 0.2733 0.5467 0.8519  -7.05
H1 0.6079 0.2158 0.0000  0.02
H2 0.2831 0.5661 0.5000  0.00
Ta1 0.6145 0.2290 0.3855  0.03
Ta2 0.6145 0.2290 0.6145  0.03

Calculated values
- Uncorrected energy: -49.02 eV per cell
- Symmetry: Amm2, No. 38
- Calculated density: 10981 kg/m³



[6]
Here is a relaxed BaCe2Ga6 crystal from Alexandria via LeMat-Bulk. Energies are from PBE.

Unit cell a=4.4805 b=7.5404 c=7.5404 alpha=120.00 beta=90.00 gamma=90.00
Site moments in Bohr magnetons follow the coordinates.
Positions (direct):
Ba1 0.0000 0.0000 0.0000  0.01
Ce1 0.0000 0.3333 0.6667  0.83
Ce2 0.0000 0.6667 0.3333  0.83
Ga1 0.5000 0.3393 0.3393  0.00
Ga2 0.5000 0.6607 0.6607  0.00
Ga3 0.5000 0.0000 0.6607  0.00
Ga4 0.5000 0.6607 0.0000  0.00
Ga5 0.5000 0.3393 0.0000  0.00
Ga6 0.5000 0.0000 0.3393  0.00

Calculated values
- Uncorrected energy: -36.30 eV per cell
- Energy of formation: -420 kJ/mol of formula units
- Symmetry: P6/mmm, No. 191
- E above lowest polymorph: 0.0 kJ/mol of formula units
- Calculated density: 6292 kg/m³